Record 1
This record from Alexandria via LeMat-Bulk describes a relaxed structure of SrMgSb2Pd4. The functional is PBE.

```
SrMgSb2Pd4
1.0
2.287 1.320 9.107
-2.287 1.320 9.107
0.000 -2.641 9.107
Sr Mg Sb Pd
1 1 2 4
direct
0.000 0.000 0.000 Sr
0.500 0.500 0.500 Mg
0.243 0.243 0.243 Sb
0.757 0.757 0.757 Sb
0.139 0.139 0.139 Pd
0.406 0.406 0.406 Pd
0.594 0.594 0.594 Pd
0.861 0.861 0.861 Pd
```

Density of states at the Fermi level (states/eV/atom): 0.49
Formation energy (no corrections) (kJ/mol of formula units): -515
SG: R-3m (166)

=====

Record 2
This record from Alexandria via LeMat-Bulk describes a relaxed structure of AcPa2TcN6. The functional is PBE.

```
AcPa2TcN6
1.0
5.396 0.000 0.000
0.000 5.396 0.000
0.000 0.000 5.981
Ac Pa Tc N
1 2 1 6
direct
0.000 0.000 0.000 Ac
0.000 0.500 0.438 Pa
0.500 0.000 0.438 Pa
0.500 0.500 0.096 Tc
0.000 0.000 0.590 N
0.261 0.261 0.252 N
0.261 0.739 0.252 N
0.500 0.500 0.803 N
0.739 0.261 0.252 N
0.739 0.739 0.252 N
```

Density of states at the Fermi level (states/eV/atom): 0.14
Formation energy (no corrections) (kJ/mol of formula units): -764
SG: P4mm (99)

=====

Record 3
This record from Alexandria via LeMat-Bulk describes a relaxed structure of ZnCo2Hg. The functional is PBE.

```
ZnCo2Hg
1.0
2.777 0.000 0.000
0.000 4.040 0.000
-1.074 0.000 5.224
Zn Co Hg
1 2 1
direct
0.000 0.000 0.000 Zn
0.613 0.500 0.196 Co
0.635 0.000 0.410 Co
0.257 0.500 0.673 Hg
```

Density of states at the Fermi level (states/eV/atom): 0.87
DFT formation energy (meV per atom): 307
SG: Pm (6)

=====

Record 4
This record from Alexandria via LeMat-Bulk describes a relaxed structure of RbPuCu2I8. The functional is PBE.

```
RbPuCu2I8
1.0
6.069 -4.167 0.000
6.069 4.167 0.000
-0.857 0.000 10.614
Rb Pu Cu I
1 1 2 8
direct
0.000 0.000 0.000 Rb
0.000 0.000 0.500 Pu
0.371 0.371 0.725 Cu
0.629 0.629 0.275 Cu
0.244 0.736 0.296 I
0.247 0.247 0.513 I
0.264 0.756 0.704 I
0.304 0.304 0.942 I
0.696 0.696 0.058 I
0.736 0.244 0.296 I
0.753 0.753 0.487 I
0.756 0.264 0.704 I
```

Density of states at the Fermi level (states/eV/atom): 1.48
Formation energy (no corrections) (kJ/mol of formula units): -725
SG: C2/m (12)

=====

How do the records compare in mass density? In the order shown, they have 7.86 8.31 10.87 4.55 g cm⁻³.